[1]
Compound: TlCoTc2
Source: Alexandria via LeMat-Bulk
Functional: PBE
Structure: optimized geometry

Calculated values
DFT formation energy in kJ/mol of formula units: 179

Lattice parameters (Å, degrees): 2.9028 3.7567 5.8208 90.00 90.01 90.00
With the nearest neighbours (Å) after each atom.
Element x y z (fractional)
Tl1 0.0000 0.0000 0.0000  4 Co 2.83, 6 Tc 2.85-3.00, 2 Tl 2.90
Co1 0.4996 0.5000 0.7341  5 Tc 2.45-2.71
Tc1 0.5010 0.5000 0.3137  1 Co 2.45, 4 Tc 2.63-2.64
Tc2 0.9978 0.0000 0.5100  6 Tc 2.63-2.90, 4 Co 2.71, 1 Tl 2.85


[2]
Compound: Ac2ZnP
Source: Alexandria via LeMat-Bulk
Functional: PBE
Structure: optimized geometry

Calculated values
DFT formation energy in kJ/mol of formula units: -276

Lattice parameters (Å, degrees): 8.5045 8.5045 8.5045 29.34 29.34 29.34
With the nearest neighbours (Å) after each atom.
Element x y z (fractional)
Ac1 0.0000 0.0000 0.0000  3 P 3.05, 3 Zn 3.39
Ac2 0.1878 0.1878 0.1878  3 P 3.06, 3 Zn 3.37
Zn1 0.7612 0.7612 0.7612  6 Ac 3.37-3.39
P1 0.5941 0.5941 0.5941  6 Ac 3.05-3.06


[3]
Compound: Co2BHPt
Source: Alexandria via LeMat-Bulk
Functional: PBE
Structure: optimized geometry

Lattice parameters (Å, degrees): 4.7760 4.7760 3.9719 90.00 90.00 90.00
With the nearest neighbours (Å) after each atom.
Element x y z (fractional)
Co1 0.0000 0.5000 0.0000  2 Pt 2.39
Co2 0.5000 0.0000 0.0000  2 Pt 2.39
B1 0.0000 0.0000 0.5000  2 Pt 1.99
H1 0.5000 0.5000 0.5000  8 Co 3.11, 4 B 3.38
Pt1 0.0000 0.0000 0.0000  2 B 1.99


Number 1: electronic total energy -7.087 eV/atom. Number 2: electronic total energy -4.439 eV/atom. Number 3: electronic total energy -4.505 eV/atom.